Entry 1:
The following is a PBE calculation of a relaxed YTh5 crystal, from Alexandria.

a = 5.016 Å, b = 5.033 Å, c = 8.049 Å
α = 108.22°, β = 90.00°, γ = 90.00°
Sites, in units of the cell vectors:
Th  0.500  0.834  0.669
Th  0.000  0.669  0.337
Th  0.500  0.500  0.000
Th  0.500  0.166  0.331
Y  0.000  0.000  0.000
Th  0.000  0.331  0.663

Results
Energy above the lowest structure with this stoichiometry, meV per atom: 0
E_form, eV per atom: 0.0401
Size of the total moment, Bohr magnetons per cell: 0.00
Density of states at the Fermi level, states/eV/cell: 9.27
DFT total energy, eV/cell: -43.32

Entry 2:
The following is a PBE calculation of a relaxed Rb2LiCeH6 crystal, from Alexandria.

a = 6.306 Å, b = 6.307 Å, c = 6.305 Å
α = 59.99°, β = 59.99°, γ = 89.99°
Last column: magnetic moment on the atom in μB.
Sites, in units of the cell vectors:
Li  0.000  0.000  0.000  0.00
H  0.759  0.759  0.000  0.00
Rb  0.750  0.250  0.500  0.00
H  0.241  0.241  0.000  0.00
H  0.241  0.759  0.000  0.00
H  0.241  0.241  0.518  0.00
Rb  0.250  0.750  0.500  0.00
H  0.759  0.241  0.000  0.00
Ce  0.500  0.500  0.000  0.97
H  0.759  0.759  0.482  0.00

Results
Size of the total moment, Bohr magnetons per cell: 1.00
Density of states at the Fermi level, states/eV/cell: 8.35
DFT total energy, eV/cell: -31.34

Entry 3:
The following is a PBE calculation of a relaxed CsNbCd crystal, from Alexandria.

a = 4.653 Å, b = 4.630 Å, c = 13.401 Å
α = 97.84°, β = 91.41°, γ = 120.04°
Sites, in units of the cell vectors:
Cd  0.279  0.895  0.123
Nb  0.656  0.631  0.236
Cs  0.872  0.110  0.922
Nb  0.982  0.288  0.236
Cs  0.097  0.471  0.550
Cd  0.359  0.024  0.348

Results
Energy above the lowest structure with this stoichiometry, meV per atom: 0
E_form, eV per atom: 0.3884
Size of the total moment, Bohr magnetons per cell: 0.00
Density of states at the Fermi level, states/eV/cell: 5.50
DFT total energy, eV/cell: -21.35